DFT (PBE-GGA) results for a relaxed structure of Fe2CoW.

a = 4.141 Å, b = 4.141 Å, c = 4.141 Å
α = 60.00°, β = 60.00°, γ = 60.00°
Last column: magnetic moment on the atom in μB.
Sites, in units of the cell vectors:
Co  0.500  0.500  0.500  1.40
Fe  0.000  0.000  0.000  1.93
Fe  0.750  0.750  0.750  2.70
W  0.250  0.250  0.250  -0.14

Output
SG: F-43m (216)
Size of the total moment, μB per formula unit: 5.90
ΔE_f, eV/atom: 0.099
Total energy, eV per atom: -9.147
Calculated density, Mg/m³: 11.73
Excess energy over the best structure of this formula in the dataset, eV/atom: 0.077
V, Å³ per atom: 12.5

DFT (PBE-GGA) results for a relaxed structure of Sr2TcNi.

a = 5.268 Å, b = 5.268 Å, c = 5.268 Å
α = 60.00°, β = 60.00°, γ = 60.00°
Last column: magnetic moment on the atom in μB.
Sites, in units of the cell vectors:
Sr  0.250  0.250  0.250  -0.01
Sr  0.750  0.750  0.750  -0.01
Tc  0.500  0.500  0.500  2.28
Ni  0.000  0.000  0.000  0.55

Output
SG: Fm-3m (225)
Size of the total moment, μB per formula unit: 3.00
ΔE_f, eV/atom: 0.839
Total energy, eV per atom: -4.038
Calculated density, Mg/m³: 5.33
Excess energy over the best structure of this formula in the dataset, eV/atom: 0.473
V, Å³ per atom: 25.8